1.
# DyPuPa2P4 (PBE, relaxed)
data_DyPuPa2P4
_cell_length_a 3.988
_cell_length_b 6.906
_cell_length_c 6.883
_cell_angle_alpha 109.56
_cell_angle_beta 90.00
_cell_angle_gamma 90.00
_space_group_name_H-M_alt 'P 1'
_space_group_IT_number 1
loop_
_space_group_symop_operation_xyz
'x,y,z'
loop_
_atom_site_label
_atom_site_type_symbol
_atom_site_fract_x
_atom_site_fract_y
_atom_site_fract_z
_atom_site_occupancy
P1 P 0.500 0.251 0.253 1
Dy1 Dy 0.500 0.500 0.000 1
Pa1 Pa 0.000 0.500 0.500 1
P2 P 0.500 0.749 0.747 1
Pu1 Pu 0.000 0.000 0.000 1
P3 P 0.000 0.751 0.254 1
Pa2 Pa 0.500 0.000 0.500 1
P4 P 0.000 0.249 0.746 1
# volume: 178.6 Å³ per cell
# ΔE_f: -1.36 eV/atom
# symmetry: P2/m (10)


2.
# PaTe2O (PBE, relaxed)
data_PaTe2O
_cell_length_a 3.883
_cell_length_b 3.883
_cell_length_c 8.204
_cell_angle_alpha 90.09
_cell_angle_beta 103.60
_cell_angle_gamma 119.99
_space_group_name_H-M_alt 'P 1'
_space_group_IT_number 1
loop_
_space_group_symop_operation_xyz
'x,y,z'
loop_
_atom_site_label
_atom_site_type_symbol
_atom_site_fract_x
_atom_site_fract_y
_atom_site_fract_z
_atom_site_occupancy
Pa1 Pa 0.708 0.604 0.312 1
Te1 Te 0.182 0.840 0.021 1
Te2 Te 0.569 0.035 0.604 1
O1 O 0.042 0.271 0.313 1
# volume: 103.1 Å³ per cell
# total DFT energy (no corrections): -6.8234 eV per atom
# symmetry: Cm (8)


3.
# RbAgSe (PBE, relaxed)
data_RbAgSe
_cell_length_a 5.114
_cell_length_b 4.588
_cell_length_c 4.588
_cell_angle_alpha 120.00
_cell_angle_beta 90.00
_cell_angle_gamma 90.00
_space_group_name_H-M_alt 'P 1'
_space_group_IT_number 1
loop_
_space_group_symop_operation_xyz
'x,y,z'
loop_
_atom_site_label
_atom_site_type_symbol
_atom_site_fract_x
_atom_site_fract_y
_atom_site_fract_z
_atom_site_occupancy
Ag1 Ag 0.166 0.333 0.667 1
Rb1 Rb 0.667 0.667 0.333 1
Se1 Se 0.167 0.000 0.000 1
# volume: 93.2 Å³ per cell
# total DFT energy (no corrections): -3.1173 eV per atom
# symmetry: P-6m2 (187)


4.
# IrOs2Au (PBE, relaxed)
data_IrOs2Au
_cell_length_a 2.759
_cell_length_b 2.759
_cell_length_c 7.988
_cell_angle_alpha 90.00
_cell_angle_beta 90.00
_cell_angle_gamma 90.00
_space_group_name_H-M_alt 'P 1'
_space_group_IT_number 1
loop_
_space_group_symop_operation_xyz
'x,y,z'
loop_
_atom_site_label
_atom_site_type_symbol
_atom_site_fract_x
_atom_site_fract_y
_atom_site_fract_z
_atom_site_occupancy
Os1 Os 0.000 0.000 0.514 1
Au1 Au 0.500 0.500 0.250 1
Ir1 Ir 0.500 0.500 0.750 1
Os2 Os 0.000 0.000 0.986 1
# volume: 60.8 Å³ per cell
# ΔE_f: 0.44 eV/atom
# symmetry: P4/mmm (123)


5.
# DyU2PdS6 (PBE, relaxed)
data_DyU2PdS6
_cell_length_a 6.783
_cell_length_b 5.929
_cell_length_c 5.929
_cell_angle_alpha 90.00
_cell_angle_beta 90.00
_cell_angle_gamma 90.00
_space_group_name_H-M_alt 'P 1'
_space_group_IT_number 1
loop_
_space_group_symop_operation_xyz
'x,y,z'
loop_
_atom_site_label
_atom_site_type_symbol
_atom_site_fract_x
_atom_site_fract_y
_atom_site_fract_z
_atom_site_occupancy
U1 U 0.008 0.500 0.000 1
S1 S 0.160 0.500 0.500 1
S2 S 0.758 0.760 0.760 1
S3 S 0.168 0.000 0.000 1
Pd1 Pd 0.518 0.000 0.000 1
S4 S 0.758 0.240 0.240 1
S5 S 0.758 0.760 0.240 1
S6 S 0.758 0.240 0.760 1
Dy1 Dy 0.553 0.500 0.500 1
U2 U 0.008 0.000 0.500 1
# volume: 238.4 Å³ per cell
# total DFT energy (no corrections): -6.6588 eV per atom
# symmetry: P4mm (99)


6.
# Re2PBr (PBE, relaxed)
data_Re2PBr
_cell_length_a 4.347
_cell_length_b 4.347
_cell_length_c 3.081
_cell_angle_alpha 90.00
_cell_angle_beta 90.00
_cell_angle_gamma 90.00
_space_group_name_H-M_alt 'P 1'
_space_group_IT_number 1
loop_
_space_group_symop_operation_xyz
'x,y,z'
loop_
_atom_site_label
_atom_site_type_symbol
_atom_site_fract_x
_atom_site_fract_y
_atom_site_fract_z
_atom_site_occupancy
P1 P 0.000 0.500 0.500 1
Br1 Br 0.500 0.000 0.500 1
Re1 Re 0.000 0.000 0.000 1
Re2 Re 0.500 0.500 0.000 1
# volume: 58.2 Å³ per cell
# total DFT energy (no corrections): -7.0599 eV per atom
# symmetry: P4/mmm (123)


7.
# Ba2InIrI (PBE, relaxed)
data_Ba2InIrI
_cell_length_a 6.161
_cell_length_b 6.161
_cell_length_c 5.166
_cell_angle_alpha 90.00
_cell_angle_beta 90.00
_cell_angle_gamma 90.00
_space_group_name_H-M_alt 'P 1'
_space_group_IT_number 1
loop_
_space_group_symop_operation_xyz
'x,y,z'
loop_
_atom_site_label
_atom_site_type_symbol
_atom_site_fract_x
_atom_site_fract_y
_atom_site_fract_z
_atom_site_occupancy
Ba1 Ba 0.500 0.000 0.000 1
Ir1 Ir 0.000 0.000 0.000 1
Ba2 Ba 0.000 0.500 0.000 1
I1 I 0.500 0.500 0.500 1
In1 In 0.000 0.000 0.500 1
# volume: 196.1 Å³ per cell
# total DFT energy (no corrections): -4.0610 eV per atom
# symmetry: P4/mmm (123)


8.
# Th2Tl2Ag3 (PBE, relaxed)
data_Th2Tl2Ag3
_cell_length_a 3.391
_cell_length_b 3.658
_cell_length_c 14.446
_cell_angle_alpha 97.27
_cell_angle_beta 90.00
_cell_angle_gamma 90.00
_space_group_name_H-M_alt 'P 1'
_space_group_IT_number 1
loop_
_space_group_symop_operation_xyz
'x,y,z'
loop_
_atom_site_label
_atom_site_type_symbol
_atom_site_fract_x
_atom_site_fract_y
_atom_site_fract_z
_atom_site_occupancy
Tl1 Tl 0.500 0.706 0.412 1
Th1 Th 0.000 0.877 0.754 1
Th2 Th 0.000 0.123 0.246 1
Tl2 Tl 0.500 0.294 0.588 1
Ag1 Ag 0.500 0.449 0.897 1
Ag2 Ag 0.000 0.000 0.000 1
Ag3 Ag 0.500 0.551 0.103 1
# volume: 177.8 Å³ per cell
# ΔE_f: 0.01 eV/atom
# symmetry: Cmmm (65)


9.
# Se2SN2 (PBE, relaxed)
data_Se2SN2
_cell_length_a 3.556
_cell_length_b 3.556
_cell_length_c 7.511
_cell_angle_alpha 90.00
_cell_angle_beta 90.00
_cell_angle_gamma 90.00
_space_group_name_H-M_alt 'P 1'
_space_group_IT_number 1
loop_
_space_group_symop_operation_xyz
'x,y,z'
loop_
_atom_site_label
_atom_site_type_symbol
_atom_site_fract_x
_atom_site_fract_y
_atom_site_fract_z
_atom_site_occupancy
Se1 Se 0.500 0.500 0.500 1
N1 N 0.500 0.000 0.000 1
S1 S 0.000 0.000 0.000 1
Se2 Se 0.000 0.000 0.500 1
N2 N 0.000 0.500 0.000 1
# volume: 95.0 Å³ per cell
# total DFT energy (no corrections): -4.1243 eV per atom
# symmetry: P4/mmm (123)


10.
# La4Sc (PBE, relaxed)
data_La4Sc
_cell_length_a 3.646
_cell_length_b 3.646
_cell_length_c 14.906
_cell_angle_alpha 82.90
_cell_angle_beta 82.90
_cell_angle_gamma 59.96
_space_group_name_H-M_alt 'P 1'
_space_group_IT_number 1
loop_
_space_group_symop_operation_xyz
'x,y,z'
loop_
_atom_site_label
_atom_site_type_symbol
_atom_site_fract_x
_atom_site_fract_y
_atom_site_fract_z
_atom_site_occupancy
Sc1 Sc 0.000 0.000 0.000 1
La1 La 0.396 0.396 0.815 1
La2 La 0.604 0.604 0.185 1
La3 La 0.798 0.798 0.605 1
La4 La 0.202 0.202 0.395 1
# volume: 169.8 Å³ per cell
# ΔE_f: 0.05 eV/atom
# symmetry: C2/m (12)


11.
# Ni2GeSe (PBE, relaxed)
data_Ni2GeSe
_cell_length_a 4.242
_cell_length_b 4.242
_cell_length_c 7.805
_cell_angle_alpha 74.23
_cell_angle_beta 74.23
_cell_angle_gamma 90.00
_space_group_name_H-M_alt 'P 1'
_space_group_IT_number 1
loop_
_space_group_symop_operation_xyz
'x,y,z'
loop_
_atom_site_label
_atom_site_type_symbol
_atom_site_fract_x
_atom_site_fract_y
_atom_site_fract_z
_atom_site_occupancy
Ni1 Ni 0.636 0.125 0.250 1
Se1 Se 0.750 0.250 0.500 1
Ge1 Ge 0.500 0.500 0.000 1
Se2 Se 0.000 0.000 0.000 1
Ge2 Ge 0.250 0.750 0.500 1
Ni2 Ni 0.375 0.364 0.750 1
Ni3 Ni 0.875 0.886 0.750 1
Ni4 Ni 0.114 0.625 0.250 1
# volume: 129.6 Å³ per cell
# total DFT energy (no corrections): -4.9608 eV per atom
# symmetry: I-42d (122)


12.
# CaSiP2 (PBE, relaxed)
data_CaSiP2
_cell_length_a 6.027
_cell_length_b 12.060
_cell_length_c 19.465
_cell_angle_alpha 90.00
_cell_angle_beta 90.00
_cell_angle_gamma 90.00
_space_group_name_H-M_alt 'P 1'
_space_group_IT_number 1
loop_
_space_group_symop_operation_xyz
'x,y,z'
loop_
_atom_site_label
_atom_site_type_symbol
_atom_site_fract_x
_atom_site_fract_y
_atom_site_fract_z
_atom_site_occupancy
Ca1 Ca 0.718 0.749 0.812 1
Si1 Si 0.307 0.972 0.312 1
P1 P 0.312 0.753 0.544 1
P2 P 0.167 0.012 0.207 1
P3 P 0.737 0.041 0.082 1
Ca2 Ca 0.248 0.996 0.563 1
P4 P 0.237 0.041 0.418 1
P5 P 0.312 0.747 0.044 1
P6 P 0.667 0.488 0.793 1
P7 P 0.263 0.291 0.331 1
Si2 Si 0.180 0.778 0.937 1
P8 P 0.188 0.247 0.044 1
Ca3 Ca 0.218 0.749 0.688 1
Ca4 Ca 0.782 0.251 0.312 1
Si3 Si 0.807 0.972 0.188 1
P9 P 0.737 0.459 0.582 1
Si4 Si 0.680 0.778 0.563 1
P10 P 0.763 0.959 0.582 1
Ca5 Ca 0.282 0.251 0.188 1
P11 P 0.667 0.012 0.293 1
P12 P 0.737 0.709 0.669 1
P13 P 0.167 0.488 0.707 1
Si5 Si 0.820 0.222 0.063 1
Si6 Si 0.693 0.472 0.188 1
P14 P 0.737 0.791 0.169 1
Si7 Si 0.680 0.722 0.063 1
P15 P 0.812 0.747 0.456 1
P16 P 0.333 0.988 0.707 1
P17 P 0.833 0.512 0.293 1
Ca6 Ca 0.782 0.249 0.812 1
P18 P 0.688 0.253 0.956 1
P19 P 0.333 0.512 0.207 1
Si8 Si 0.693 0.028 0.688 1
Si9 Si 0.820 0.278 0.563 1
P20 P 0.812 0.753 0.956 1
P21 P 0.263 0.541 0.418 1
Si10 Si 0.193 0.028 0.812 1
P22 P 0.263 0.959 0.918 1
Ca7 Ca 0.248 0.504 0.063 1
Si11 Si 0.307 0.528 0.812 1
P23 P 0.763 0.209 0.669 1
Si12 Si 0.320 0.278 0.937 1
P24 P 0.688 0.247 0.456 1
P25 P 0.833 0.988 0.793 1
Si13 Si 0.193 0.472 0.312 1
Ca8 Ca 0.718 0.751 0.312 1
Ca9 Ca 0.282 0.249 0.688 1
Ca10 Ca 0.252 0.496 0.563 1
P26 P 0.237 0.791 0.331 1
Ca11 Ca 0.748 0.504 0.437 1
Ca12 Ca 0.252 0.004 0.063 1
P27 P 0.237 0.459 0.918 1
Si14 Si 0.807 0.528 0.688 1
P28 P 0.188 0.253 0.544 1
Ca13 Ca 0.752 0.004 0.437 1
P29 P 0.237 0.709 0.831 1
Si15 Si 0.180 0.722 0.437 1
Ca14 Ca 0.218 0.751 0.188 1
P30 P 0.763 0.291 0.169 1
P31 P 0.763 0.541 0.082 1
P32 P 0.263 0.209 0.831 1
Ca15 Ca 0.752 0.496 0.937 1
Ca16 Ca 0.748 0.996 0.937 1
Si16 Si 0.320 0.222 0.437 1
# volume: 1414.7 Å³ per cell
# total DFT energy (no corrections): -5.2156 eV per atom
# symmetry: Pbca (61)


Copy entry 1 word for word.
# DyPuPa2P4 (PBE, relaxed)
data_DyPuPa2P4
_cell_length_a 3.988
_cell_length_b 6.906
_cell_length_c 6.883
_cell_angle_alpha 109.56
_cell_angle_beta 90.00
_cell_angle_gamma 90.00
_space_group_name_H-M_alt 'P 1'
_space_group_IT_number 1
loop_
_space_group_symop_operation_xyz
'x,y,z'
loop_
_atom_site_label
_atom_site_type_symbol
_atom_site_fract_x
_atom_site_fract_y
_atom_site_fract_z
_atom_site_occupancy
P1 P 0.500 0.251 0.253 1
Dy1 Dy 0.500 0.500 0.000 1
Pa1 Pa 0.000 0.500 0.500 1
P2 P 0.500 0.749 0.747 1
Pu1 Pu 0.000 0.000 0.000 1
P3 P 0.000 0.751 0.254 1
Pa2 Pa 0.500 0.000 0.500 1
P4 P 0.000 0.249 0.746 1
# volume: 178.6 Å³ per cell
# ΔE_f: -1.36 eV/atom
# symmetry: P2/m (10)